(1)
Density functional theory data (PBE) for crystalline Hf2ScTe6 at its relaxed geometry.

Output
Uncorrected formation energy (eV/atom): -0.748
Electronic total energy (eV per atom): -5.758
Size of the total moment (Bohr magnetons per cell): 0.00
Crystal system: tetragonal

Lattice parameters (Å, degrees): 6.933 6.933 12.261 90.00 90.00 90.00
Sites, in units of the cell vectors:
Te 0.798 0.202 0.000
Te 0.204 0.796 0.331
Te 0.704 0.704 0.169
Te 0.296 0.296 0.169
Te 0.704 0.704 0.831
Te 0.796 0.204 0.669
Te 0.204 0.796 0.669
Te 0.298 0.298 0.500
Te 0.796 0.204 0.331
Te 0.202 0.798 0.000
Te 0.702 0.702 0.500
Te 0.296 0.296 0.831
Hf 0.000 0.000 0.834
Hf 0.500 0.500 0.334
Hf 0.000 0.000 0.166
Hf 0.500 0.500 0.666
Sc 0.000 0.000 0.500
Sc 0.500 0.500 0.000


(2)
Density functional theory data (PBE) for crystalline HfSc3Te at its relaxed geometry.

Output
Uncorrected formation energy (eV/atom): 0.340
Electronic total energy (eV per atom): -6.078
Size of the total moment (Bohr magnetons per cell): 0.00
Crystal system: cubic

Lattice parameters (Å, degrees): 5.245 5.245 5.245 90.00 90.00 90.00
Sites, in units of the cell vectors:
Sc 0.000 0.500 0.000
Sc 0.500 0.000 0.000
Sc 0.000 0.000 0.500
Hf 0.500 0.500 0.500
Te 0.000 0.000 0.000


(3)
Density functional theory data (PBE) for crystalline Hf3ScTe8 at its relaxed geometry.

Output
Uncorrected formation energy (eV/atom): -0.868
Electronic total energy (eV per atom): -5.978
Size of the total moment (Bohr magnetons per cell): 0.00
Crystal system: monoclinic

Lattice parameters (Å, degrees): 7.938 7.932 8.716 117.55 90.00 120.02
Sites, in units of the cell vectors:
Te 0.250 0.995 0.241
Te 0.251 0.502 0.758
Te 0.750 0.005 0.759
Te 0.255 0.005 0.759
Te 0.750 0.500 0.759
Te 0.745 0.995 0.241
Te 0.250 0.500 0.241
Te 0.749 0.498 0.242
Hf 0.500 0.000 0.000
Hf 0.000 0.500 0.000
Hf 0.500 0.500 0.000
Sc 0.000 0.000 0.000


(4)
Density functional theory data (PBE) for crystalline Hf3ScTe6 at its relaxed geometry.

Output
Uncorrected formation energy (eV/atom): -0.655
Electronic total energy (eV per atom): -6.160
Size of the total moment (Bohr magnetons per cell): 0.00
Crystal system: orthorhombic

Lattice parameters (Å, degrees): 7.030 9.043 9.043 102.75 90.00 90.00
Sites, in units of the cell vectors:
Hf 0.371 0.412 0.588
Hf 0.977 0.729 0.954
Hf 0.477 0.954 0.729
Hf 0.871 0.588 0.412
Hf 0.977 0.046 0.271
Hf 0.477 0.271 0.046
Te 0.648 0.251 0.749
Te 0.742 0.006 0.994
Te 0.213 0.105 0.553
Te 0.242 0.994 0.006
Te 0.162 0.355 0.295
Te 0.713 0.553 0.105
Te 0.162 0.705 0.645
Te 0.713 0.895 0.447
Te 0.662 0.645 0.705
Te 0.148 0.749 0.251
Te 0.213 0.447 0.895
Te 0.662 0.295 0.355
Sc 0.519 0.837 0.163
Sc 0.019 0.163 0.837


(5)
Density functional theory data (PBE) for crystalline HfScTe4 at its relaxed geometry.

Output
Uncorrected formation energy (eV/atom): -0.890
Electronic total energy (eV per atom): -5.698
Size of the total moment (Bohr magnetons per cell): 0.00
Crystal system: monoclinic

Lattice parameters (Å, degrees): 3.980 6.831 6.897 90.32 90.00 90.00
Sites, in units of the cell vectors:
Hf 0.000 0.000 0.000
Te 0.500 0.260 0.838
Te 0.000 0.741 0.669
Te 0.000 0.259 0.331
Te 0.500 0.740 0.162
Sc 0.500 0.000 0.500


(6)
Density functional theory data (PBE) for crystalline Hf3ScTe at its relaxed geometry.

Output
Uncorrected formation energy (eV/atom): 1.135
Electronic total energy (eV per atom): -6.732
Size of the total moment (Bohr magnetons per cell): 0.00
Crystal system: cubic

Lattice parameters (Å, degrees): 5.070 5.070 5.070 90.00 90.00 90.00
Sites, in units of the cell vectors:
Hf 0.000 0.000 0.500
Hf 0.000 0.500 0.000
Hf 0.500 0.000 0.000
Sc 0.000 0.000 0.000
Te 0.500 0.500 0.500


(7)
Density functional theory data (PBE) for crystalline HfSc2Tl3Te6 at its relaxed geometry.

Output
Uncorrected formation energy (eV/atom): -0.795
Electronic total energy (eV per atom): -4.842
Size of the total moment (Bohr magnetons per cell): 0.00
Crystal system: monoclinic

Lattice parameters (Å, degrees): 7.275 7.275 8.611 98.10 98.10 119.99
Sites, in units of the cell vectors:
Sc 0.334 0.666 0.000
Sc 0.666 0.334 0.000
Te 0.068 0.397 0.203
Te 0.397 0.068 0.203
Te 0.603 0.932 0.797
Te 0.740 0.740 0.205
Te 0.260 0.260 0.795
Te 0.932 0.603 0.797
Tl 0.168 0.832 0.500
Tl 0.832 0.168 0.500
Tl 0.500 0.500 0.500
Hf 0.000 0.000 0.000


(8)
Density functional theory data (PBE) for crystalline Hf2ScTl2Te6 at its relaxed geometry.

Output
Uncorrected formation energy (eV/atom): -0.778
Electronic total energy (eV per atom): -5.307
Size of the total moment (Bohr magnetons per cell): 0.00
Crystal system: monoclinic

Lattice parameters (Å, degrees): 7.083 7.083 8.761 97.73 97.73 119.96
Sites, in units of the cell vectors:
Te 0.272 0.272 0.297
Te 0.728 0.728 0.703
Te 0.595 0.929 0.295
Te 0.929 0.595 0.295
Te 0.071 0.405 0.705
Te 0.405 0.071 0.705
Hf 0.331 0.669 0.500
Hf 0.669 0.331 0.500
Sc 0.000 0.000 0.500
Tl 0.165 0.835 0.000
Tl 0.835 0.165 0.000


(9)
Density functional theory data (PBE) for crystalline Hf2ScTl3Te6 at its relaxed geometry.

Output
Uncorrected formation energy (eV/atom): -0.671
Electronic total energy (eV per atom): -5.020
Size of the total moment (Bohr magnetons per cell): 0.00
Crystal system: monoclinic

Lattice parameters (Å, degrees): 7.050 7.050 9.087 97.46 97.46 120.01
Sites, in units of the cell vectors:
Te 0.597 0.934 0.802
Te 0.934 0.597 0.802
Te 0.066 0.403 0.198
Te 0.403 0.066 0.198
Te 0.271 0.271 0.803
Te 0.729 0.729 0.197
Hf 0.667 0.333 0.000
Hf 0.333 0.667 0.000
Sc 0.000 0.000 0.000
Tl 0.500 0.500 0.500
Tl 0.834 0.166 0.500
Tl 0.166 0.834 0.500


(10)
Density functional theory data (PBE) for crystalline Hf3ScTl3Te8 at its relaxed geometry.

Output
Uncorrected formation energy (eV/atom): -0.714
Electronic total energy (eV per atom): -5.276
Size of the total moment (Bohr magnetons per cell): 0.00
Crystal system: trigonal

Lattice parameters (Å, degrees): 8.156 8.157 9.735 114.78 90.00 120.00
Sites, in units of the cell vectors:
Hf 0.500 0.000 0.500
Hf 0.500 0.500 0.500
Hf 0.000 0.500 0.500
Te 0.269 0.033 0.296
Te 0.237 0.473 0.703
Te 0.734 0.468 0.702
Te 0.731 0.967 0.704
Te 0.764 0.033 0.296
Te 0.266 0.532 0.298
Te 0.763 0.527 0.297
Te 0.236 0.967 0.704
Tl 0.000 0.000 0.000
Tl 0.500 0.500 0.000
Tl 0.000 0.500 0.000
Sc 0.000 0.000 0.500


(11)
Density functional theory data (PBE) for crystalline HfSc3Tl3Te8 at its relaxed geometry.

Output
Uncorrected formation energy (eV/atom): -0.907
Electronic total energy (eV per atom): -4.985
Size of the total moment (Bohr magnetons per cell): 0.00
Crystal system: monoclinic

Lattice parameters (Å, degrees): 8.377 8.378 9.576 115.95 90.00 119.99
Sites, in units of the cell vectors:
Sc 0.500 0.500 0.500
Sc 0.500 0.000 0.500
Sc 0.000 0.500 0.500
Te 0.767 0.534 0.297
Te 0.265 0.530 0.297
Te 0.767 0.030 0.297
Te 0.735 0.470 0.703
Te 0.263 0.030 0.297
Te 0.233 0.466 0.703
Te 0.737 0.970 0.703
Te 0.233 0.970 0.703
Tl 0.000 0.500 0.000
Tl 0.000 0.000 0.000
Tl 0.500 0.500 0.000
Hf 0.000 0.000 0.500


(12)
Density functional theory data (PBE) for crystalline HfTh2Sc4 at its relaxed geometry.

Output
Electronic total energy (eV per atom): -7.110
Size of the total moment (Bohr magnetons per cell): 0.00
Crystal system: trigonal

Lattice parameters (Å, degrees): 3.371 3.371 18.779 95.14 90.00 120.00
Sites, in units of the cell vectors:
Th 0.718 0.435 0.389
Th 0.618 0.235 0.090
Sc 0.520 0.041 0.800
Sc 0.433 0.866 0.537
Sc 0.002 0.004 0.243
Sc 0.900 0.801 0.940
Hf 0.810 0.620 0.669


(13)
Density functional theory data (PBE) for crystalline HfTh2Sc at its relaxed geometry.

Output
Electronic total energy (eV per atom): -7.418
Size of the total moment (Bohr magnetons per cell): 0.00
Crystal system: trigonal

Lattice parameters (Å, degrees): 3.312 3.312 12.050 82.10 82.10 60.00
Sites, in units of the cell vectors:
Th 0.914 0.914 0.257
Th 0.086 0.086 0.743
Hf 0.000 0.000 0.000
Sc 0.500 0.500 0.500


(14)
Density functional theory data (PBE) for crystalline HfThSc2 at its relaxed geometry.

Output
Electronic total energy (eV per atom): -7.459
Size of the total moment (Bohr magnetons per cell): 0.00
Crystal system: orthorhombic

Lattice parameters (Å, degrees): 3.325 10.681 6.363 94.66 105.14 71.87
Sites, in units of the cell vectors:
Sc 0.134 0.037 0.526
Sc 0.379 0.068 0.076
Sc 0.603 0.568 0.526
Sc 0.910 0.537 0.076
Hf 0.752 0.302 0.292
Hf 0.761 0.802 0.311
Th 0.022 0.802 0.832
Th 0.491 0.302 0.771


(15)
Density functional theory data (PBE) for crystalline HfTh2Sc at its relaxed geometry.

Output
Electronic total energy (eV per atom): -7.662
Size of the total moment (Bohr magnetons per cell): 0.00
Crystal system: cubic

Lattice parameters (Å, degrees): 5.376 5.376 5.376 60.00 60.00 60.00
Sites, in units of the cell vectors:
Th 0.750 0.750 0.750
Th 0.250 0.250 0.250
Hf 0.500 0.500 0.500
Sc 0.000 0.000 0.000


(16)
Density functional theory data (PBE) for crystalline HfThSc2 at its relaxed geometry.

Output
Electronic total energy (eV per atom): -7.463
Size of the total moment (Bohr magnetons per cell): 0.00
Crystal system: tetragonal

Lattice parameters (Å, degrees): 4.706 4.639 4.639 90.00 90.00 90.00
Sites, in units of the cell vectors:
Hf 0.500 0.000 0.000
Th 0.500 0.500 0.500
Sc 0.000 0.500 0.000
Sc 0.000 0.000 0.500


(17)
Density functional theory data (PBE) for crystalline Hf2ThSc2 at its relaxed geometry.

Output
Electronic total energy (eV per atom): -7.828
Size of the total moment (Bohr magnetons per cell): 0.00
Crystal system: tetragonal

Lattice parameters (Å, degrees): 8.769 8.769 3.308 90.00 90.00 90.00
Sites, in units of the cell vectors:
Hf 0.675 0.175 0.500
Hf 0.825 0.675 0.500
Hf 0.175 0.325 0.500
Hf 0.325 0.825 0.500
Th 0.000 0.000 0.000
Th 0.500 0.500 0.000
Sc 0.120 0.620 0.000
Sc 0.620 0.880 0.000
Sc 0.380 0.120 0.000
Sc 0.880 0.380 0.000


(18)
Density functional theory data (PBE) for crystalline HfThSc3 at its relaxed geometry.

Output
Electronic total energy (eV per atom): -7.097
Size of the total moment (Bohr magnetons per cell): 0.00
Crystal system: monoclinic

Lattice parameters (Å, degrees): 3.269 7.834 12.801 126.35 90.00 90.00
Sites, in units of the cell vectors:
Sc 0.750 0.617 0.434
Sc 0.250 0.383 0.566
Sc 0.250 0.864 0.708
Sc 0.750 0.292 0.904
Sc 0.250 0.708 0.096
Sc 0.750 0.136 0.292
Hf 0.750 0.105 0.620
Hf 0.250 0.895 0.380
Th 0.750 0.714 0.873
Th 0.250 0.286 0.127


(19)
Density functional theory data (PBE) for crystalline HfTh2Sc at its relaxed geometry.

Output
Electronic total energy (eV per atom): -7.642
Size of the total moment (Bohr magnetons per cell): 0.00
Crystal system: trigonal

Lattice parameters (Å, degrees): 3.409 3.409 11.156 81.21 81.21 60.00
Sites, in units of the cell vectors:
Hf 0.669 0.669 0.994
Th 0.251 0.251 0.247
Th 0.083 0.083 0.752
Sc 0.498 0.498 0.506


(20)
Density functional theory data (PBE) for crystalline Hf2ThSc2 at its relaxed geometry.

Output
Electronic total energy (eV per atom): -7.695
Size of the total moment (Bohr magnetons per cell): 0.00
Crystal system: monoclinic

Lattice parameters (Å, degrees): 5.494 5.494 4.843 105.64 105.64 70.64
Sites, in units of the cell vectors:
Th 0.000 0.000 0.000
Sc 0.000 0.500 0.500
Sc 0.500 0.000 0.500
Hf 0.606 0.606 0.858
Hf 0.394 0.394 0.142